The following is a PBE calculation of a relaxed Sb4Br3O2 crystal, from Alexandria via LeMat-Bulk.

Cell and atoms, written as CIF:
```
data_Sb4Br3O2
_chemical_formula_sum 'Sb8 Br6 O4'
_symmetry_space_group_name_H-M 'P 1'
_symmetry_Int_Tables_number 1
_cell_length_a 6.2413
_cell_length_b 10.1676
_cell_length_c 10.1676
_cell_angle_alpha 59.67
_cell_angle_beta 111.66
_cell_angle_gamma 111.66
loop_
_symmetry_equiv_pos_as_xyz
'x,y,z'
loop_
_atom_site_label
_atom_site_fract_x
_atom_site_fract_y
_atom_site_fract_z
_atom_site_occupancy
O1 0.9014 0.4426 0.1156 1
Sb1 0.4239 0.3550 0.3348 1
Sb2 0.9239 0.3348 0.3550 1
Br1 0.6143 0.7034 0.0621 1
Sb3 0.5761 0.6450 0.6652 1
Br2 0.7500 0.3278 0.6722 1
Br3 0.1143 0.0621 0.7034 1
Sb4 0.5650 0.0384 0.3258 1
Br4 0.2500 0.6722 0.3278 1
Sb5 0.9350 0.6742 0.9616 1
Sb6 0.0761 0.6652 0.6450 1
Sb7 0.4350 0.9616 0.6742 1
Sb8 0.0650 0.3258 0.0384 1
Br5 0.3857 0.2966 0.9379 1
Br6 0.8857 0.9379 0.2966 1
O2 0.0986 0.5574 0.8844 1
O3 0.4014 0.1156 0.4426 1
O4 0.5986 0.8844 0.5574 1
```

Results
* uncorrected energy: -4.065 eV per atom
* raw formation energy: -0.574 eV/atom
* spin magnetization: 0.000 μB per formula unit